Entry 1:
An optimized crystal structure of RbMnCu2I8. Source: Alexandria via LeMat-Bulk, functional GGA-PBE.

a b c (Å): 7.071 7.071 11.439
angles (deg): 72.00 72.00 60.00
Last column: magnetic moment on the atom in μB.
Sites, in units of the cell vectors:
Rb1 0.000 0.000 0.000  0.00
Mn1 0.500 0.500 0.500  3.94
Cu1 0.756 0.756 0.733  -0.22
Cu2 0.244 0.244 0.267  -0.22
I1 0.676 0.676 0.972  -0.18
I2 0.324 0.324 0.028  -0.18
I3 0.566 0.245 0.328  -0.10
I4 0.755 0.434 0.672  -0.10
I5 0.139 0.755 0.672  -0.10
I6 0.245 0.861 0.328  -0.10
I7 0.861 0.566 0.328  -0.10
I8 0.434 0.139 0.672  -0.10

Output
Magnetic moment, μB/f.u.: 2.43
E, eV for the cell shown: -34.47
Raw formation energy, eV per atom: -0.312
Mass density, Mg/m³: 4.6
N(E_F), states/eV/cell: 12.19

=====

Entry 2:
An optimized crystal structure of RbMnCuI5. Source: Alexandria via LeMat-Bulk, functional GGA-PBE.

a b c (Å): 8.091 8.091 10.579
angles (deg): 103.33 103.33 105.21
Last column: magnetic moment on the atom in μB.
Sites, in units of the cell vectors:
Rb1 0.353 0.647 0.250  0.00
Rb2 0.647 0.353 0.750  0.00
Mn1 0.000 0.000 0.500  3.98
Mn2 0.000 0.000 0.000  3.98
Cu1 0.692 0.308 0.250  -0.15
Cu2 0.308 0.692 0.750  -0.15
I1 0.069 0.931 0.250  0.00
I2 0.931 0.069 0.750  0.00
I3 0.904 0.302 0.098  -0.03
I4 0.096 0.698 0.902  -0.03
I5 0.698 0.096 0.402  -0.03
I6 0.302 0.904 0.598  -0.03
I7 0.778 0.624 0.434  -0.03
I8 0.222 0.376 0.566  -0.03
I9 0.376 0.222 0.066  -0.03
I10 0.624 0.778 0.934  -0.03

Output
Magnetic moment, μB/f.u.: 3.96
E, eV for the cell shown: -52.86
Raw formation energy, eV per atom: -0.555
Mass density, Mg/m³: 4.5
N(E_F), states/eV/cell: 6.58

=====

Entry 3:
An optimized crystal structure of RbMn3Cu4I12. Source: Alexandria via LeMat-Bulk, functional GGA-PBE.

a b c (Å): 9.596 9.596 9.596
angles (deg): 106.37 106.37 106.37
Last column: magnetic moment on the atom in μB.
Sites, in units of the cell vectors:
Rb1 0.000 0.000 0.000  0.00
Mn1 0.567 0.433 0.000  4.25
Mn2 0.433 0.000 0.567  4.25
Mn3 0.000 0.567 0.433  4.25
Cu1 0.922 0.078 0.500  -0.07
Cu2 0.078 0.500 0.922  -0.07
Cu3 0.500 0.922 0.078  -0.07
Cu4 0.500 0.500 0.500  -0.04
I1 0.500 0.334 0.666  0.04
I2 0.909 0.500 0.091  0.01
I3 0.091 0.909 0.500  0.01
I4 0.500 0.091 0.909  0.01
I5 0.355 0.975 0.253  0.02
I6 0.253 0.355 0.975  0.02
I7 0.975 0.253 0.355  0.02
I8 0.645 0.747 0.025  0.02
I9 0.025 0.645 0.747  0.02
I10 0.747 0.025 0.645  0.02
I11 0.666 0.500 0.334  0.04
I12 0.334 0.666 0.500  0.04

Output
Magnetic moment, μB/f.u.: 13.96
E, eV for the cell shown: -70.34
Raw formation energy, eV per atom: -0.344
Mass density, Mg/m³: 4.5
N(E_F), states/eV/cell: 6.99

=====

Question: What is the N(E_F) in the third record?
Answer: 6.99 states/eV/cell